1.
This record from Alexandria via LeMat-Bulk describes a relaxed MgZnO2 crystal. The functional is GGA-PBE.

Summary:
- raw formation energy (eV per atom) = -1.989
- calculated volume (Å³/f.u.) = 44.7

a b c (Å): 3.1409 3.1409 5.2308
angles (deg): 90.00 90.00 120.00
Space group P3m1 (No. 156)
Asymmetric unit:
Mg 0.0000 0.0000 0.0000 [1 per cell]
Zn 0.3333 0.6667 0.5245 [1 per cell]
O 0.3333 0.6667 0.1626 [1 per cell]
O 0.6667 0.3333 0.7156 [1 per cell]

2.
This record from Alexandria via LeMat-Bulk describes a relaxed YBrCl3 crystal. The functional is GGA-PBE.

Summary:
- raw formation energy (eV per atom) = -1.498
- calculated volume (Å³/f.u.) = 150.8

a b c (Å): 5.3233 5.3233 5.3233
angles (deg): 90.00 90.00 90.00
Space group Pm-3m (No. 221)
Asymmetric unit:
Y 0.0000 0.0000 0.0000 [1 per cell]
Br 0.5000 0.5000 0.5000 [1 per cell]
Cl 0.0000 0.0000 0.5000 [3 per cell]

3.
This record from Alexandria via LeMat-Bulk describes a relaxed Ta2SbCl crystal. The functional is GGA-PBE.

Summary:
- raw formation energy (eV per atom) = 0.014
- calculated volume (Å³/f.u.) = 93.1

a b c (Å): 3.3941 3.3941 8.0780
angles (deg): 90.00 90.00 90.00
Space group P4mm (No. 99)
Asymmetric unit:
Ta 0.0000 0.0000 0.0000 [1 per cell]
Ta 0.5000 0.5000 0.1812 [1 per cell]
Sb 0.5000 0.5000 0.8016 [1 per cell]
Cl 0.0000 0.0000 0.4111 [1 per cell]

4.
This record from Alexandria via LeMat-Bulk describes a relaxed Pu2MgAl3Au12 crystal. The functional is GGA-PBE.

Summary:
- E_tot (eV per atom) = -4.665
- calculated volume (Å³/f.u.) = 368.7

a b c (Å): 9.7597 9.7597 13.4082
angles (deg): 90.00 90.00 120.00
Space group R-3m (No. 166, hexagonal axes)
Asymmetric unit:
Pu 0.0000 0.0000 0.1276 [6 per cell]
Mg 0.0000 0.0000 0.5000 [3 per cell]
Al 0.0000 0.5000 0.0000 [9 per cell]
Au 0.0124 0.5062 0.1932 [18 per cell]
Au 0.0450 0.5225 0.3967 [18 per cell]

5.
This record from Alexandria via LeMat-Bulk describes a relaxed AcEuSiPt crystal. The functional is GGA-PBE.

Summary:
- raw formation energy (eV per atom) = -0.633
- calculated volume (Å³/f.u.) = 104.3

a b c (Å): 7.4734 7.4734 7.4734
angles (deg): 90.00 90.00 90.00
Space group F-43m (No. 216)
Asymmetric unit:
Ac 0.0000 0.0000 0.0000 [4 per cell]
Eu 0.0000 0.0000 0.5000 [4 per cell]
Si 0.2500 0.2500 0.2500 [4 per cell]
Pt 0.2500 0.2500 0.7500 [4 per cell]

6.
This record from Alexandria via LeMat-Bulk describes a relaxed Y4Hg3Rh crystal. The functional is GGA-PBE.

Summary:
- E_tot (eV per atom) = -4.854
- calculated volume (Å³/f.u.) = 195.6

a b c (Å): 3.6167 3.6167 14.9509
angles (deg): 90.00 90.00 90.00
Space group P4/mmm (No. 123)
Asymmetric unit:
Y 0.0000 0.0000 0.1086 [2 per cell]
Y 0.0000 0.0000 0.3708 [2 per cell]
Hg 0.5000 0.5000 0.2439 [2 per cell]
Hg 0.5000 0.5000 0.5000 [1 per cell]
Rh 0.5000 0.5000 0.0000 [1 per cell]

7.
This record from Alexandria via LeMat-Bulk describes a relaxed Be2Pd2Au crystal. The functional is GGA-PBE.

Summary:
- E_tot (eV per atom) = -4.405
- calculated volume (Å³/f.u.) = 68.2

a b c (Å): 3.0344 3.0344 14.8201
angles (deg): 90.00 90.00 90.00
Space group I4/mmm (No. 139)
Asymmetric unit:
Be 0.0000 0.5000 0.2500 [4 per cell]
Pd 0.0000 0.0000 0.1333 [4 per cell]
Au 0.0000 0.0000 0.5000 [2 per cell]

8.
This record from Alexandria via LeMat-Bulk describes a relaxed Er4ScAgS8 crystal. The functional is GGA-PBE.

Summary:
- raw formation energy (eV per atom) = -1.801
- calculated volume (Å³/f.u.) = 347.3

a b c (Å): 7.9356 7.9356 19.1041
angles (deg): 90.00 90.00 120.00
Space group R3m (No. 160, hexagonal axes)
Asymmetric unit:
Er 0.0000 0.0000 0.0000 [3 per cell]
Er 0.0107 0.5054 0.1240 [9 per cell]
Sc 0.0000 0.0000 0.6165 [3 per cell]
Ag 0.0000 0.0000 0.2454 [3 per cell]
S 0.0000 0.0000 0.3801 [3 per cell]
S 0.0000 0.0000 0.8651 [3 per cell]
S 0.0290 0.5145 0.3728 [9 per cell]
S 0.1804 0.3609 0.2070 [9 per cell]

9.
This record from Alexandria via LeMat-Bulk describes a relaxed RbCd3Pd crystal. The functional is GGA-PBE.

Summary:
- E_tot (eV per atom) = -1.927
- calculated volume (Å³/f.u.) = 138.9

a b c (Å): 13.6160 12.8621 6.3429
angles (deg): 90.00 90.00 90.00
Space group Cmcm (No. 63)
Asymmetric unit:
Rb 0.1315 0.0902 0.2500 [8 per cell]
Cd 0.1185 0.3705 0.0117 [16 per cell]
Cd 0.2009 0.1966 0.7500 [8 per cell]
Pd 0.0000 0.2378 0.7500 [4 per cell]
Pd 0.0000 0.4943 0.7500 [4 per cell]

10.
This record from Alexandria via LeMat-Bulk describes a relaxed TbY2Er3As6 crystal. The functional is GGA-PBE.

Summary:
- E_tot (eV per atom) = -6.464
- calculated volume (Å³/f.u.) = 293.5

a b c (Å): 17.8917 4.1062 8.2089
angles (deg): 90.00 103.23 90.00
Space group C2/m (No. 12)
Asymmetric unit:
Tb 0.0000 0.0000 0.0000 [2 per cell]
Y 0.1668 0.5000 0.3333 [4 per cell]
Er 0.0000 0.0000 0.5000 [2 per cell]
Er 0.1666 0.5000 0.8331 [4 per cell]
As 0.0006 0.5000 0.7479 [4 per cell]
As 0.1660 0.0000 0.5848 [4 per cell]
As 0.1675 0.0000 0.0816 [4 per cell]

11.
This record from Alexandria via LeMat-Bulk describes a relaxed Ga2MoAu2 crystal. The functional is GGA-PBE.

Summary:
- E_tot (eV per atom) = -4.552
- calculated volume (Å³/f.u.) = 83.4

a b c (Å): 7.4076 7.4076 3.0392
angles (deg): 90.00 90.00 90.00
Space group P4/mbm (No. 127)
Asymmetric unit:
Ga 0.1452 0.3548 0.0000 [4 per cell]
Mo 0.0000 0.0000 0.0000 [2 per cell]
Au 0.1552 0.6552 0.5000 [4 per cell]

12.
This record from Alexandria via LeMat-Bulk describes a relaxed Sm6TeRu2 crystal. The functional is GGA-PBE.

Summary:
- raw formation energy (eV per atom) = -0.368
- calculated volume (Å³/f.u.) = 250.4

a b c (Å): 10.3117 5.0383 9.7454
angles (deg): 90.00 98.52 90.00
Space group C2/m (No. 12)
Asymmetric unit:
Sm 0.0325 0.0000 0.3303 [4 per cell]
Sm 0.1587 0.5000 0.8842 [4 per cell]
Sm 0.2230 0.5000 0.3602 [4 per cell]
Te 0.0000 0.0000 0.0000 [2 per cell]
Ru 0.1017 0.5000 0.6010 [4 per cell]

13.
This record from Alexandria via LeMat-Bulk describes a relaxed Ta2CdAs crystal. The functional is GGA-PBE.

Summary:
- E_tot (eV per atom) = -7.055
- calculated volume (Å³/f.u.) = 73.1

a b c (Å): 5.8870 8.9649 2.9217
angles (deg): 90.00 108.44 90.00
Space group C2/m (No. 12)
Asymmetric unit:
Ta 0.2500 0.2500 0.0000 [4 per cell]
Cd 0.0000 0.0000 0.5000 [2 per cell]
As 0.0000 0.5000 0.5000 [2 per cell]

14.
This record from Alexandria via LeMat-Bulk describes a relaxed Ba2SrLiO crystal. The functional is GGA-PBE.

Summary:
- raw formation energy (eV per atom) = -0.952
- calculated volume (Å³/f.u.) = 172.5

a b c (Å): 5.7906 5.7906 5.1459
angles (deg): 90.00 90.00 90.00
Space group P4/mmm (No. 123)
Asymmetric unit:
Ba 0.0000 0.5000 0.0000 [2 per cell]
Sr 0.0000 0.0000 0.5000 [1 per cell]
Li 0.5000 0.5000 0.5000 [1 per cell]
O 0.0000 0.0000 0.0000 [1 per cell]

15.
This record from Alexandria via LeMat-Bulk describes a relaxed Nd12MgAl3 crystal. The functional is GGA-PBE.

Summary:
- E_tot (eV per atom) = -4.504
- calculated volume (Å³/f.u.) = 480.1

a b c (Å): 4.9353 4.9353 19.7097
angles (deg): 90.00 90.00 90.00
Space group P4/mmm (No. 123)
Asymmetric unit:
Nd 0.0000 0.0000 0.0000 [1 per cell]
Nd 0.0000 0.0000 0.2480 [2 per cell]
Nd 0.0000 0.0000 0.5000 [1 per cell]
Nd 0.0000 0.5000 0.1241 [4 per cell]
Nd 0.0000 0.5000 0.3696 [4 per cell]
Mg 0.5000 0.5000 0.5000 [1 per cell]
Al 0.5000 0.5000 0.0000 [1 per cell]
Al 0.5000 0.5000 0.2483 [2 per cell]

16.
This record from Alexandria via LeMat-Bulk describes a relaxed Sc3AgN crystal. The functional is GGA-PBE.

Summary:
- raw formation energy (eV per atom) = -0.919
- calculated volume (Å³/f.u.) = 87.1

a b c (Å): 6.2522 6.2529 6.2537
angles (deg): 119.33 119.65 90.87
Space group P-1 (No. 2)
Asymmetric unit:
Sc 0.1853 0.2521 0.4374 [2 per cell]
Sc 0.2818 0.2831 0.0001 [2 per cell]
Sc 0.2853 0.7853 0.5012 [2 per cell]
Ag 0.2542 0.7498 0.0041 [2 per cell]
N 0.0000 0.0000 0.5000 [1 per cell]
N 0.5000 0.5000 0.5000 [1 per cell]

17.
This record from Alexandria via LeMat-Bulk describes a relaxed RbPrP2Pt4 crystal. The functional is GGA-PBE.

Summary:
- E_tot (eV per atom) = -5.789
- calculated volume (Å³/f.u.) = 185.9

a b c (Å): 4.0708 4.0708 11.2184
angles (deg): 90.00 90.00 90.00
Space group P4/mmm (No. 123)
Asymmetric unit:
Rb 0.0000 0.0000 0.0000 [1 per cell]
Pr 0.0000 0.0000 0.5000 [1 per cell]
P 0.5000 0.5000 0.1921 [2 per cell]
Pt 0.0000 0.5000 0.2960 [4 per cell]

18.
This record from Alexandria via LeMat-Bulk describes a relaxed Np4ScAs5 crystal. The functional is GGA-PBE.

Summary:
- E_tot (eV per atom) = -8.946
- calculated volume (Å³/f.u.) = 237.7

a b c (Å): 4.0546 5.7584 20.3614
angles (deg): 90.00 90.00 90.00
Space group Immm (No. 71)
Asymmetric unit:
Np 0.0000 0.0000 0.0989 [4 per cell]
Np 0.0000 0.0000 0.3025 [4 per cell]
Sc 0.0000 0.0000 0.5000 [2 per cell]
As 0.0000 0.5000 0.0952 [4 per cell]
As 0.0000 0.5000 0.2994 [4 per cell]
As 0.0000 0.5000 0.5000 [2 per cell]

19.
This record from Alexandria via LeMat-Bulk describes a relaxed Pm2NbSi4Pt3 crystal. The functional is GGA-PBE.

Summary:
- raw formation energy (eV per atom) = -0.990
- calculated volume (Å³/f.u.) = 183.9

a b c (Å): 4.2296 4.2296 10.2773
angles (deg): 90.00 90.00 90.00
Space group P-4m2 (No. 115)
Asymmetric unit:
Pm 0.0000 0.5000 0.2375 [2 per cell]
Nb 0.0000 0.0000 0.5000 [1 per cell]
Si 0.0000 0.0000 0.0000 [1 per cell]
Si 0.0000 0.5000 0.6438 [2 per cell]
Si 0.5000 0.5000 0.0000 [1 per cell]
Pt 0.0000 0.5000 0.8820 [2 per cell]
Pt 0.5000 0.5000 0.5000 [1 per cell]

20.
This record from Alexandria via LeMat-Bulk describes a relaxed HfPaAu crystal. The functional is GGA-PBE.

Summary:
- E_tot (eV per atom) = -7.860
- calculated volume (Å³/f.u.) = 65.0

a b c (Å): 3.4134 3.4134 11.1589
angles (deg): 90.00 90.00 90.00
Space group P4/nmm (No. 129, origin choice 2)
Asymmetric unit:
Hf 0.2500 0.2500 0.2113 [2 per cell]
Pa 0.2500 0.2500 0.5982 [2 per cell]
Au 0.2500 0.2500 0.9237 [2 per cell]

21.
This record from Alexandria via LeMat-Bulk describes a relaxed TbScBePd crystal. The functional is GGA-PBE.

Summary:
- E_tot (eV per atom) = -5.319
- calculated volume (Å³/f.u.) = 77.6

a b c (Å): 6.7720 6.7720 6.7720
angles (deg): 90.00 90.00 90.00
Space group F-43m (No. 216)
Asymmetric unit:
Tb 0.0000 0.0000 0.0000 [4 per cell]
Sc 0.0000 0.0000 0.5000 [4 per cell]
Be 0.2500 0.2500 0.7500 [4 per cell]
Pd 0.2500 0.2500 0.2500 [4 per cell]

22.
This record from Alexandria via LeMat-Bulk describes a relaxed TiCuRe2 crystal. The functional is GGA-PBE.

Summary:
- E_tot (eV per atom) = -8.493
- calculated volume (Å³/f.u.) = 62.9

a b c (Å): 6.9902 6.9902 5.1480
angles (deg): 90.00 90.00 90.00
Space group I-42d (No. 122)
Asymmetric unit:
Ti 0.0000 0.0000 0.0000 [4 per cell]
Cu 0.0000 0.0000 0.5000 [4 per cell]
Re 0.2341 0.2500 0.6250 [8 per cell]

23.
This record from Alexandria via LeMat-Bulk describes a relaxed ZrInCoPd crystal. The functional is GGA-PBE.

Summary:
- E_tot (eV per atom) = -6.308
- calculated volume (Å³/f.u.) = 68.1

a b c (Å): 6.4816 6.4816 6.4816
angles (deg): 90.00 90.00 90.00
Space group F-43m (No. 216)
Asymmetric unit:
Zr 0.0000 0.0000 0.0000 [4 per cell]
In 0.0000 0.0000 0.5000 [4 per cell]
Co 0.2500 0.2500 0.2500 [4 per cell]
Pd 0.2500 0.2500 0.7500 [4 per cell]

24.
This record from Alexandria via LeMat-Bulk describes a relaxed Hf3V crystal. The functional is GGA-PBE.

Summary:
- E_tot (eV per atom) = -9.343
- calculated volume (Å³/f.u.) = 84.3

a b c (Å): 2.9257 2.9981 9.6071
angles (deg): 90.00 90.00 90.00
Space group Pmm2 (No. 25)
Asymmetric unit:
Hf 0.0000 0.0000 0.0000 [1 per cell]
Hf 0.0000 0.5000 0.3017 [1 per cell]
Hf 0.5000 0.5000 0.7677 [1 per cell]
V 0.5000 0.0000 0.5076 [1 per cell]